MgH GGA-PBE optimized geometry; M_tot = 0.000 μB per cell; total energy = -10.1 eV for the cell shown; symmetry = P4/nmm; excess energy over the best structure of this formula in the dataset = 17.4 meV/atom
1.0
3.278 0.000 0.000
0.000 3.278 0.000
0.000 0.000 4.691
Mg H
2 2
Direct
0.250 0.250 0.250 Mg
0.750 0.750 0.750 Mg
0.250 0.750 0.000 H
0.750 0.250 0.000 H